1.
A plane-wave DFT calculation with PBE was carried out for a relaxed La2TaAg crystal.

a b c (Å): 5.3375 5.3375 5.3375
angles (deg): 60.00 60.00 60.00
Sites, in units of the cell vectors:
La 0.2500 0.2500 0.2500
La 0.7500 0.7500 0.7500
Ta 0.0000 0.0000 0.0000
Ag 0.5000 0.5000 0.5000

Values from the calculation:
ρ	8751	kg/m3
distance to the lowest polymorph of the same formula	56	kJ/mol of formula units
raw total energy	-23.18	eV for the cell shown
total magnetic moment	1.871	μB per cell
space group	Fm-3m, No. 225

2.
A plane-wave DFT calculation with PBE was carried out for a relaxed LaTaAg2 crystal.

a b c (Å): 10.6956 10.6956 10.6956
angles (deg): 16.36 16.36 16.36
Sites, in units of the cell vectors:
La 0.0000 0.0000 0.0000
Ta 0.5000 0.5000 0.5000
Ag 0.2418 0.2418 0.2418
Ag 0.7582 0.7582 0.7582

Values from the calculation:
ρ	10504	kg/m3
distance to the lowest polymorph of the same formula	64	kJ/mol of formula units
raw total energy	-20.93	eV for the cell shown
total magnetic moment	0.752	μB per cell
space group	R-3m, No. 166

3.
A plane-wave DFT calculation with PBE was carried out for a relaxed La2TaAg crystal.

a b c (Å): 5.8809 5.8809 5.8809
angles (deg): 134.50 134.50 66.30
Sites, in units of the cell vectors:
La 0.0000 0.0000 0.0000
La 0.7500 0.2500 0.5000
Ta 0.2500 0.7500 0.5000
Ag 0.5000 0.5000 0.0000

Values from the calculation:
ρ	9239	kg/m3
distance to the lowest polymorph of the same formula	75	kJ/mol of formula units
raw total energy	-22.98	eV for the cell shown
total magnetic moment	0.000	μB per cell
space group	I-4m2, No. 119

4.
A plane-wave DFT calculation with PBE was carried out for a relaxed LaTaAg2 crystal.

a b c (Å): 10.6182 10.6182 10.6182
angles (deg): 16.62 16.62 16.62
Sites, in units of the cell vectors:
La 0.0000 0.0000 0.0000
Ta 0.7599 0.7599 0.7599
Ag 0.2420 0.2420 0.2420
Ag 0.5011 0.5011 0.5011

Values from the calculation:
ρ	10407	kg/m3
distance to the lowest polymorph of the same formula	58	kJ/mol of formula units
raw total energy	-20.98	eV for the cell shown
total magnetic moment	0.628	μB per cell
space group	R3m, No. 160

5.
A plane-wave DFT calculation with PBE was carried out for a relaxed LaTaAg2 crystal.

a b c (Å): 6.4280 6.4280 6.4280
angles (deg): 101.92 101.92 125.95
Sites, in units of the cell vectors:
La 0.0000 0.0000 0.0000
La 0.7500 0.2500 0.5000
Ta 0.2500 0.7500 0.5000
Ta 0.5000 0.5000 0.0000
Ag 0.1684 0.6250 0.0434
Ag 0.3750 0.4184 0.5434
Ag 0.5816 0.1250 0.9566
Ag 0.8750 0.8316 0.4566

Values from the calculation:
ρ	9287	kg/m3
distance to the lowest polymorph of the same formula	134	kJ/mol of formula units
raw total energy	-40.38	eV for the cell shown
total magnetic moment	0.000	μB per cell
space group	I-42d, No. 122

6.
A plane-wave DFT calculation with PBE was carried out for a relaxed LaTaAg2 crystal.

a b c (Å): 5.7622 5.7622 5.7622
angles (deg): 142.63 130.20 63.89
Sites, in units of the cell vectors:
La 0.0000 0.0000 0.0000
Ta 0.5000 0.5000 0.0000
Ag 0.2703 0.7703 0.5000
Ag 0.7297 0.2297 0.5000

Values from the calculation:
ρ	10152	kg/m3
distance to the lowest polymorph of the same formula	64	kJ/mol of formula units
raw total energy	-20.92	eV for the cell shown
total magnetic moment	0.000	μB per cell
space group	Immm, No. 71

7.
A plane-wave DFT calculation with PBE was carried out for a relaxed La2TaAg crystal.

a b c (Å): 3.4304 5.2438 5.4453
angles (deg): 90.00 90.00 90.00
Sites, in units of the cell vectors:
La 0.0000 0.0000 0.0000
La 0.5000 0.0000 0.5000
Ta 0.0000 0.5000 0.5000
Ag 0.5000 0.5000 0.0000

Values from the calculation:
ρ	9606	kg/m3
distance to the lowest polymorph of the same formula	110	kJ/mol of formula units
raw total energy	-22.62	eV for the cell shown
total magnetic moment	0.000	μB per cell
space group	Pmmm, No. 47

8.
A plane-wave DFT calculation with PBE was carried out for a relaxed La2TaAg crystal.

a b c (Å): 10.7161 10.7161 10.7161
angles (deg): 18.08 18.08 18.08
Sites, in units of the cell vectors:
La 0.0000 0.0000 0.0000
La 0.2323 0.2323 0.2323
Ta 0.4855 0.4855 0.4855
Ag 0.7515 0.7515 0.7515

Values from the calculation:
ρ	9095	kg/m3
distance to the lowest polymorph of the same formula	92	kJ/mol of formula units
raw total energy	-22.80	eV for the cell shown
total magnetic moment	0.000	μB per cell
space group	R3m, No. 160

9.
A plane-wave DFT calculation with PBE was carried out for a relaxed LaTaAg crystal.

a b c (Å): 3.0563 3.0563 8.2092
angles (deg): 90.00 90.00 120.00
Sites, in units of the cell vectors:
La 0.0000 0.0000 0.0000
Ta 0.6667 0.3333 0.3533
Ag 0.3333 0.6667 0.6417

Values from the calculation:
ρ	10695	kg/m3
distance to the lowest polymorph of the same formula	46	kJ/mol of formula units
raw total energy	-18.25	eV for the cell shown
total magnetic moment	0.000	μB per cell
space group	P3m1, No. 156

10.
A plane-wave DFT calculation with PBE was carried out for a relaxed La2TaAg crystal.

a b c (Å): 3.2962 5.4437 5.8227
angles (deg): 90.00 90.11 90.00
Sites, in units of the cell vectors:
La 0.0000 0.0000 0.0000
La 0.0043 0.5000 0.5652
Ta 0.5026 0.0000 0.4654
Ag 0.5016 0.5000 0.1000

Values from the calculation:
ρ	9006	kg/m3
distance to the lowest polymorph of the same formula	19	kJ/mol of formula units
raw total energy	-23.56	eV for the cell shown
total magnetic moment	0.000	μB per cell
space group	Pm, No. 6

11.
A plane-wave DFT calculation with PBE was carried out for a relaxed La2TaAg crystal.

a b c (Å): 3.3286 3.3286 9.4274
angles (deg): 90.00 90.00 90.00
Sites, in units of the cell vectors:
La 0.0000 0.0000 0.2455
La 0.0000 0.0000 0.7545
Ta 0.5000 0.5000 0.0000
Ag 0.5000 0.5000 0.5000

Values from the calculation:
ρ	9008	kg/m3
distance to the lowest polymorph of the same formula	0	kJ/mol of formula units
raw total energy	-23.76	eV for the cell shown
total magnetic moment	0.000	μB per cell
space group	P4/mmm, No. 123

12.
A plane-wave DFT calculation with PBE was carried out for a relaxed LaTaAg2 crystal.

a b c (Å): 6.1215 6.1215 6.1215
angles (deg): 150.92 128.12 60.58
Sites, in units of the cell vectors:
La 0.0000 0.0000 0.0000
Ta 0.2626 0.7626 0.5000
Ag 0.4977 0.4977 0.0000
Ag 0.7262 0.2262 0.5000

Values from the calculation:
ρ	10220	kg/m3
distance to the lowest polymorph of the same formula	65	kJ/mol of formula units
raw total energy	-20.91	eV for the cell shown
total magnetic moment	0.000	μB per cell
space group	Imm2, No. 44